[1]
First-principles (GGA-PBE) data for a relaxed structure of PdRh4W, as listed in Alexandria.

Summary:
N(E_F) = 1.078 states/eV/atom
M_tot = 0.000 μB per atom
ΔH_f (0 K) = 47 meV per atom

```
12
Lattice="2.735 -7.428 0.000 2.735 7.428 0.000 -2.564 0.000 4.393" Properties=species:S:1:pos:R:3 pbc="T T T"
Pd 0.812 4.202 3.295
Pd 2.094 -4.202 1.098
Rh -0.555 1.819 3.363
Rh 0.697 0.798 1.076
Rh -0.585 -0.798 3.272
Rh 0.726 -1.819 1.166
Rh 2.180 1.819 3.227
Rh 3.492 0.798 1.120
Rh 2.210 -0.798 3.317
Rh 3.462 -1.819 1.030
W 2.094 3.182 1.098
W 0.812 -3.182 3.295
```

[2]
First-principles (GGA-PBE) data for a relaxed structure of PdRhW, as listed in Alexandria.

Summary:
N(E_F) = 1.178 states/eV/atom
M_tot = 0.000 μB per atom
distance to the lowest polymorph of the same formula = 99 meV per atom
ΔH_f (0 K) = -68 meV per atom

```
3
Lattice="2.427 -1.404 0.000 2.427 1.404 0.000 -1.627 0.000 6.709" Properties=species:S:1:pos:R:3 pbc="T T T"
Pd 0.000 0.000 0.000
Rh 3.238 0.000 2.366
W 0.002 0.000 4.474
```

[3]
First-principles (GGA-PBE) data for a relaxed structure of PdRh2W, as listed in Alexandria.

Summary:
N(E_F) = 0.246 states/eV/atom
M_tot = 0.000 μB per atom
distance to the lowest polymorph of the same formula = 465 meV per atom
ΔH_f (0 K) = 277 meV per atom

```
8
Lattice="-3.502 3.502 2.715 3.502 -3.502 2.715 3.502 3.502 -2.715" Properties=species:S:1:pos:R:3 pbc="T T T"
Pd 0.000 0.000 0.000
Pd 0.000 3.502 1.358
Rh 1.751 -1.519 2.036
Rh 1.983 1.751 0.679
Rh 1.751 5.021 -0.679
Rh 1.519 1.751 3.394
W 3.502 0.000 1.358
W 0.000 0.000 2.715
```

[4]
First-principles (GGA-PBE) data for a relaxed structure of PdRhW2, as listed in Alexandria.

Summary:
N(E_F) = 1.018 states/eV/atom
M_tot = 0.000 μB per atom
distance to the lowest polymorph of the same formula = 268 meV per atom
ΔH_f (0 K) = 455 meV per atom

```
4
Lattice="1.391 0.803 9.574 -1.391 0.803 9.574 0.000 -1.606 9.574" Properties=species:S:1:pos:R:3 pbc="T T T"
Pd 0.000 0.000 0.000
Rh 0.000 0.000 14.361
W 0.000 0.000 11.876
W 0.000 0.000 16.846
```

[5]
First-principles (GGA-PBE) data for a relaxed structure of PdRh9W2, as listed in Alexandria.

Summary:
N(E_F) = 0.843 states/eV/atom
M_tot = 0.000 μB per atom
ΔH_f (0 K) = -175 meV per atom

```
12
Lattice="3.877 0.000 0.000 0.000 3.877 0.000 0.000 0.000 11.576" Properties=species:S:1:pos:R:3 pbc="T T T"
Pd 0.000 0.000 0.000
Rh 0.000 1.938 2.003
Rh 0.000 1.938 5.788
Rh 0.000 1.938 9.573
Rh 1.938 0.000 2.003
Rh 1.938 0.000 5.788
Rh 1.938 0.000 9.573
Rh 1.938 1.938 0.000
Rh 1.938 1.938 3.886
Rh 1.938 1.938 7.691
W 0.000 0.000 3.795
W 0.000 0.000 7.781
```

[6]
First-principles (GGA-PBE) data for a relaxed structure of PdRhW2, as listed in Alexandria.

Summary:
N(E_F) = 1.410 states/eV/atom
M_tot = 0.000 μB per atom
distance to the lowest polymorph of the same formula = 292 meV per atom
ΔH_f (0 K) = 479 meV per atom

```
4
Lattice="0.000 3.150 3.150 3.150 0.000 3.150 3.150 3.150 0.000" Properties=species:S:1:pos:R:3 pbc="T T T"
Pd 0.000 0.000 0.000
Rh 3.150 3.150 3.150
W 1.575 1.575 1.575
W 4.725 4.725 4.725
```

[7]
First-principles (GGA-PBE) data for a relaxed structure of PdRhW2, as listed in Alexandria.

Summary:
N(E_F) = 1.712 states/eV/atom
M_tot = 0.000 μB per atom
distance to the lowest polymorph of the same formula = 1373 meV per atom
ΔH_f (0 K) = 1561 meV per atom

```
8
Lattice="-2.845 2.845 5.618 2.845 -2.845 5.618 2.845 2.845 -5.618" Properties=species:S:1:pos:R:3 pbc="T T T"
Pd 0.000 0.000 0.000
Pd 0.000 2.845 2.809
Rh 2.845 0.000 2.809
Rh 0.000 0.000 5.618
W 1.423 -1.358 4.214
W 1.487 1.423 1.405
W 1.423 4.203 -1.405
W 1.358 1.423 7.023
```

[8]
First-principles (GGA-PBE) data for a relaxed structure of PdRh2W, as listed in Alexandria.

Summary:
N(E_F) = 0.408 states/eV/atom
M_tot = 0.000 μB per atom
distance to the lowest polymorph of the same formula = 201 meV per atom
ΔH_f (0 K) = 13 meV per atom

```
4
Lattice="0.000 3.104 3.104 3.104 0.000 3.104 3.104 3.104 0.000" Properties=species:S:1:pos:R:3 pbc="T T T"
Pd 0.000 0.000 0.000
Rh 1.552 1.552 1.552
Rh 4.655 4.655 4.655
W 3.104 3.104 3.104
```

[9]
First-principles (GGA-PBE) data for a relaxed structure of Y7Pd2Rh2, as listed in Alexandria.

Summary:
N(E_F) = 0.945 states/eV/atom
M_tot = 0.000 μB per atom
distance to the lowest polymorph of the same formula = 0 meV per atom
ΔH_f (0 K) = -656 meV per atom

```
11
Lattice="-1.933 7.588 4.731 1.933 -7.588 4.731 1.933 7.588 -4.731" Properties=species:S:1:pos:R:3 pbc="T T T"
Y 0.000 0.000 0.000
Y 1.933 2.870 -0.975
Y 1.933 -1.960 2.448
Y 1.933 1.960 2.448
Y 1.933 5.812 0.994
Y 0.000 4.718 3.756
Y 0.000 1.776 5.725
Pd 0.000 0.000 3.382
Pd 0.000 7.588 2.566
Rh 0.000 3.630 0.976
Rh 0.000 11.546 0.976
```

[10]
First-principles (GGA-PBE) data for a relaxed structure of Y2Pd3Rh, as listed in Alexandria.

Summary:
N(E_F) = 0.517 states/eV/atom
M_tot = 0.000 μB per atom
ΔH_f (0 K) = -704 meV per atom

```
12
Lattice="-3.009 6.593 3.014 3.009 -6.593 3.014 3.009 6.593 -3.014" Properties=species:S:1:pos:R:3 pbc="T T T"
Y 1.459 2.024 0.000
Y 1.459 -2.024 3.014
Y 1.550 8.617 0.000
Y 1.550 4.569 3.014
Pd 4.505 1.771 0.000
Pd 3.009 0.000 1.507
Pd 1.496 4.822 0.000
Pd 1.513 1.771 3.014
Pd 0.000 6.593 1.507
Pd -1.496 4.822 3.014
Rh 0.000 0.000 1.507
Rh 0.000 0.000 4.521
```

[11]
First-principles (GGA-PBE) data for a relaxed structure of Y5Pd2Rh, as listed in Alexandria.

Summary:
N(E_F) = 0.762 states/eV/atom
M_tot = 0.000 μB per atom
ΔH_f (0 K) = -677 meV per atom

```
16
Lattice="7.746 0.000 0.000 0.000 11.977 0.000 0.000 0.000 4.335" Properties=species:S:1:pos:R:3 pbc="T T T"
Y 0.000 0.000 0.000
Y 1.231 3.552 0.000
Y 1.383 7.042 2.168
Y 2.490 1.054 2.168
Y 2.642 9.540 0.000
Y 3.873 5.988 0.000
Y 5.104 2.437 0.000
Y 5.256 10.922 2.168
Y 6.363 4.934 2.168
Y 6.515 8.425 0.000
Pd 0.389 9.938 2.168
Pd 3.484 3.949 2.168
Pd 4.262 8.027 2.168
Pd 7.357 2.039 2.168
Rh 0.000 5.988 0.000
Rh 3.873 0.000 0.000
```

[12]
First-principles (GGA-PBE) data for a relaxed structure of Y2Pd2Rh, as listed in Alexandria.

Summary:
N(E_F) = 0.854 states/eV/atom
M_tot = 0.000 μB per atom
distance to the lowest polymorph of the same formula = 0 meV per atom
ΔH_f (0 K) = -717 meV per atom

```
10
Lattice="7.282 0.000 0.000 0.000 7.282 0.000 0.000 0.000 3.883" Properties=species:S:1:pos:R:3 pbc="T T T"
Y 1.309 2.332 0.000
Y 2.332 5.973 0.000
Y 4.950 1.309 0.000
Y 5.973 4.950 0.000
Pd 0.940 4.581 1.941
Pd 2.701 0.940 1.941
Pd 4.581 6.342 1.941
Pd 6.342 2.701 1.941
Rh 0.000 0.000 1.941
Rh 3.641 3.641 1.941
```

no.,calculated total energy (eV per atom)
1,-7.878
2,-8.567
3,-7.935
4,-9.157
5,-8.280
6,-9.133
7,-8.052
8,-8.199
9,-7.050
10,-6.680
11,-6.934
12,-6.850